#P
A plane-wave DFT calculation with PBE-GGA was carried out for Ge2SeO after structural relaxation.

## Properties
* DOS at the Fermi energy: 0.291 states/eV per atom
* calculated volume: 21.28 Å³/atom

Cell and atoms, written as POSCAR:
```
Ge2SeO
1.0
-2.5738 2.5738 6.4230
2.5738 -2.5738 6.4230
2.5738 2.5738 -6.4230
Ge Se O
4 2 2
direct
0.0224 0.6250 0.8974 Ge
0.3750 0.2724 0.3974 Ge
0.7276 0.1250 0.1026 Ge
0.8750 0.9776 0.6026 Ge
0.2500 0.7500 0.5000 Se
0.5000 0.5000 0.0000 Se
0.0000 0.0000 0.0000 O
0.7500 0.2500 0.5000 O
```

#Q
A plane-wave DFT calculation with PBE-GGA was carried out for Ge2SeO after structural relaxation.

## Properties
* DOS at the Fermi energy: 0.388 states/eV per atom
* calculated volume: 16.73 Å³/atom

Cell and atoms, written as POSCAR:
```
Ge2SeO
1.0
0.0000 3.2224 3.2224
3.2224 0.0000 3.2224
3.2224 3.2224 0.0000
Ge Se O
2 1 1
direct
0.2500 0.2500 0.2500 Ge
0.7500 0.7500 0.7500 Ge
0.0000 0.0000 0.0000 Se
0.5000 0.5000 0.5000 O
```

Relative energy of each structure, in meV/atom: #P 0; #Q 421.